# 1
A relaxed structure of As2IrOs, computed with PBE.

As for the polymorph energy (0 for the lowest one): 0.288 eV/atom. The spin magnetization is 0.000 μB/atom. The space group is Cmmm (65). For the mass density, the calculation gives 14.5 g/cm³. The formation energy comes out at 1.57 eV/f.u.

Cell: 4.4919 4.4919 3.0300 Å, 90.00 90.00 95.04°
Element x y z (fractional)
1 Ir 0.5000 0.0000 0.5000
2 Os 0.0000 0.5000 0.5000
3 As 0.0000 0.0000 0.0000
4 As 0.5000 0.5000 0.0000

***

# 2
A relaxed structure of As3IrOs, computed with PBE.

As for the polymorph energy (0 for the lowest one): 0.000 eV/atom. The spin magnetization is 0.000 μB/atom. The space group is Pm-3m (221). For the mass density, the calculation gives 9.6 g/cm³. The formation energy comes out at 5.67 eV/f.u.

Cell: 4.7133 4.7133 4.7133 Å, 90.00 90.00 90.00°
Element x y z (fractional)
1 As 0.0000 0.5000 0.0000
2 As 0.0000 0.0000 0.5000
3 As 0.5000 0.0000 0.0000
4 Os 0.0000 0.0000 0.0000
5 Ir 0.5000 0.5000 0.5000

***

# 3
A relaxed structure of As2IrOs, computed with PBE.

As for the polymorph energy (0 for the lowest one): 0.483 eV/atom. The spin magnetization is 0.000 μB/atom. The space group is P2/m (10). For the mass density, the calculation gives 13.8 g/cm³. The formation energy comes out at 2.35 eV/f.u.

Cell: 4.3090 2.9936 4.9556 Å, 90.94 90.00 90.00°
Element x y z (fractional)
1 Os 0.5000 0.7500 0.7500
2 As 0.0000 0.5927 0.4857
3 As 0.0000 0.9073 0.0143
4 Ir 0.5000 0.2500 0.2500